GGA-PBE LiZn2Cr, relaxed; space-group type = I-42d (122); E_tot = -25.2 eV for the cell shown; volume = 127.55 Å³ per cell
1.0
-3.4615 3.4615 2.6611
3.4615 -3.4615 2.6611
3.4615 3.4615 -2.6611
Li Zn Cr
2 4 2
Direct
0.0000 0.0000 0.0000 Li
0.7500 0.2500 0.5000 Li
0.1137 0.1250 0.4887 Zn
0.3750 0.8863 0.0113 Zn
0.6363 0.6250 0.5113 Zn
0.8750 0.3637 0.9887 Zn
0.2500 0.7500 0.5000 Cr
0.5000 0.5000 0.0000 Cr